[1]
MnHN2 | PBE | optimized geometry

Calculated values
Offset from the most stable computed form: 1457.2 meV/atom

Cell lengths 5.0786, 5.0786, 5.0786 Å; angles 30.71, 30.71, 30.71 degrees
Closest atoms and distances in Å follow each position.
Fractional positions:
N: 0.8806 0.8806 0.8806  3 H 1.70, 1 Mn 1.73
N: 0.1194 0.1194 0.1194  3 H 1.70, 1 Mn 1.73
Mn: 0.0000 0.0000 0.0000  2 N 1.73
H: 0.5000 0.5000 0.5000  6 N 1.70

---

[2]
Nd2Dy5Er12 | PBE | optimized geometry

Calculated values
Offset from the most stable computed form: 110.8 meV/atom
Formation enthalpy at 0 K: 0.133 eV per atom

Cell lengths 9.1797, 12.2999, 8.4696 Å; angles 132.39, 90.00, 111.91 degrees
Closest atoms and distances in Å follow each position.
Fractional positions:
Dy: 0.6981 0.3961 0.3873  8 Er 3.39-3.64, 2 Nd 3.54, 1 Dy 3.65
Dy: 0.2324 0.4649 0.8884  10 Er 3.35-3.72, 2 Dy 3.65-3.69
Dy: 0.3019 0.6039 0.6127  8 Er 3.39-3.64, 2 Nd 3.54, 1 Dy 3.65
Dy: 0.7676 0.5351 0.1116  10 Er 3.35-3.72, 2 Dy 3.65-3.69
Dy: 0.0000 0.0000 0.5000  10 Er 3.52-3.69, 2 Dy 3.69
Er: 0.4433 0.8866 0.2160  2 Nd 3.37, 7 Er 3.38-3.43, 2 Dy 3.38-3.54
Er: 0.5567 0.1134 0.7840  2 Nd 3.37, 7 Er 3.38-3.43, 2 Dy 3.38-3.54
Er: 0.0245 0.6880 0.9336  5 Er 3.31-3.68, 1 Nd 3.41, 4 Dy 3.45-3.69
Er: 0.1817 0.7461 0.3992  4 Dy 3.35-3.68, 6 Er 3.38-3.68, 1 Nd 3.59
Er: 0.6634 0.6880 0.9336  5 Er 3.31-3.68, 1 Nd 3.41, 4 Dy 3.45-3.69
Er: 0.3366 0.3120 0.0664  5 Er 3.31-3.68, 1 Nd 3.41, 4 Dy 3.45-3.69
Er: 0.4356 0.2539 0.6008  4 Dy 3.35-3.68, 6 Er 3.38-3.68, 1 Nd 3.59
Er: 0.9073 0.8146 0.6972  3 Dy 3.39-3.52, 2 Nd 3.40, 5 Er 3.48-3.61
Er: 0.5644 0.7461 0.3992  4 Dy 3.35-3.68, 6 Er 3.38-3.68, 1 Nd 3.59
Er: 0.9755 0.3120 0.0664  5 Er 3.31-3.68, 1 Nd 3.41, 4 Dy 3.45-3.69
Er: 0.0927 0.1854 0.3028  3 Dy 3.39-3.52, 2 Nd 3.40, 5 Er 3.48-3.61
Er: 0.8183 0.2539 0.6008  4 Dy 3.35-3.68, 6 Er 3.38-3.68, 1 Nd 3.59
Nd: 0.3152 0.0000 0.0000  8 Er 3.37-3.59, 1 Nd 3.39, 2 Dy 3.54
Nd: 0.6848 0.0000 0.0000  8 Er 3.37-3.59, 1 Nd 3.39, 2 Dy 3.54

---

[3]
BaSn2TeS | PBE | optimized geometry

Calculated values
Formation energy from raw total energies: -456 meV/atom

Cell lengths 5.3901, 6.0898, 5.3901 Å; angles 90.00, 90.00, 90.00 degrees
Closest atoms and distances in Å follow each position.
Fractional positions:
Ba: 0.0000 0.5000 0.0000  2 S 3.04
Sn: 0.5000 0.0000 0.0000  2 S 2.70
Sn: 0.0000 0.0000 0.5000  2 S 2.70
Te: 0.5000 0.5000 0.5000  4 Ba 3.81, 8 Sn 4.07
S: 0.0000 0.0000 0.0000  4 Sn 2.70

---

[4]
Er2PbN | PBE | optimized geometry

Calculated values
Formation energy from raw total energies: -451 meV/atom

Cell lengths 3.1612, 3.1612, 7.7959 Å; angles 90.00, 90.00, 90.00 degrees
Closest atoms and distances in Å follow each position.
Fractional positions:
Er: 0.0000 0.0000 0.1822  4 N 2.65, 1 Er 2.84
Er: 0.0000 0.0000 0.8178  4 N 2.65, 1 Er 2.84
Pb: 0.5000 0.5000 0.5000  4 Pb 3.16, 8 Er 3.34
N: 0.5000 0.5000 0.0000  8 Er 2.65

---

[5]
YBeNiPd2 | PBE | optimized geometry

Calculated values
Formation enthalpy at 0 K: -0.514 eV per atom

Cell lengths 4.3540, 4.3540, 4.1715 Å; angles 90.00, 90.00, 90.00 degrees
Closest atoms and distances in Å follow each position.
Fractional positions:
Pd: 0.0000 0.5000 0.0000  2 Be 2.18
Pd: 0.5000 0.0000 0.0000  2 Be 2.18
Y: 0.5000 0.5000 0.5000  8 Pd 3.01, 4 Ni 3.08
Ni: 0.0000 0.0000 0.5000  2 Be 2.09
Be: 0.0000 0.0000 0.0000  2 Ni 2.09, 4 Pd 2.18

---

[6]
KScSnI6 | PBE | optimized geometry

Calculated values
Formation energy from raw total energies: -1046 meV/atom

Cell lengths 7.9189, 7.9189, 15.3000 Å; angles 90.00, 90.00, 120.00 degrees
Closest atoms and distances in Å follow each position.
Fractional positions:
Sn: 0.3333 0.6667 0.2500  6 I 3.18
Sn: 0.6667 0.3333 0.7500  6 I 3.18
I: 0.3793 0.3527 0.3617  1 Sc 2.91, 1 Sn 3.18
I: 0.3527 0.9734 0.6383  1 Sc 2.91, 1 Sn 3.18
I: 0.9734 0.3527 0.1383  1 Sc 2.91, 1 Sn 3.18
I: 0.6473 0.0266 0.3617  1 Sc 2.91, 1 Sn 3.18
I: 0.0266 0.3793 0.6383  1 Sc 2.91, 1 Sn 3.18
I: 0.6473 0.6207 0.1383  1 Sc 2.91, 1 Sn 3.18
I: 0.3793 0.0266 0.1383  1 Sc 2.91, 1 Sn 3.18
I: 0.0266 0.6473 0.8617  1 Sc 2.91, 1 Sn 3.18
I: 0.6207 0.9734 0.8617  1 Sc 2.91, 1 Sn 3.18
I: 0.6207 0.6473 0.6383  1 Sc 2.91, 1 Sn 3.18
I: 0.9734 0.6207 0.3617  1 Sc 2.91, 1 Sn 3.18
I: 0.3527 0.3793 0.8617  1 Sc 2.91, 1 Sn 3.18
K: 0.0000 0.0000 0.0000  6 I 3.59
K: 0.0000 0.0000 0.5000  6 I 3.59
Sc: 0.6667 0.3333 0.2500  6 I 2.91
Sc: 0.3333 0.6667 0.7500  6 I 2.91

---

| no. | E_tot (eV per formula unit) | total moment (μB per atom) |
| --- | --- | --- |
| 1 | -22.629 | 0.0000 |
| 2 | -84.780 | 0.0000 |
| 3 | -19.479 | 0.0000 |
| 4 | -22.962 | 0.0002 |
| 5 | -28.929 | 0.0000 |
| 6 | -30.149 | 0.0000 |